! Hf2NbIn (PBE, relaxed); values from VASP
&SYSTEM
  ibrav = 0, nat = 4, ntyp = 3
/
ATOMIC_SPECIES
Nb 92.91 Nb.upf
Hf 178.49 Hf.upf
In 114.82 In.upf
ATOMIC_POSITIONS crystal
Nb 0.5000 0.5000 0.5000
Hf 0.0000 0.0000 0.5000
Hf 0.0000 0.5000 0.0000
In 0.5000 0.0000 0.0000
CELL_PARAMETERS angstrom
4.0222 0.0000 0.0000
0.0000 4.5368 0.0000
0.0000 0.0000 4.5368
! Space-group type: P4/mmm
! ΔH_f (0 K) in eV/f.u.: -0.34
! Volume in Å³/cell: 82.8
! Crystal system: tetragonal
! E in eV/atom: -8.26

---

! Ta2CrP (PBE, relaxed); values from VASP
&SYSTEM
  ibrav = 0, nat = 4, ntyp = 3
/
ATOMIC_SPECIES
Cr 52.00 Cr.upf
P 30.97 P.upf
Ta 180.95 Ta.upf
ATOMIC_POSITIONS crystal
Cr 0.5000 0.5000 0.2500
P 0.5000 0.5000 0.7500
Ta 0.0000 0.0000 0.9918
Ta 0.0000 0.0000 0.5082
CELL_PARAMETERS angstrom
-1.5997 -2.2118 -0.9415
2.5266 0.0350 -1.3975
3.1141 -4.6000 5.5149
! Space-group type: Cmmm
! ΔH_f (0 K) in eV/f.u.: -0.45
! Volume in Å³/cell: 61.5
! Crystal system: orthorhombic
! E in eV/atom: -9.80

---

! RbIr3N (PBE, relaxed); values from VASP
&SYSTEM
  ibrav = 0, nat = 5, ntyp = 3
/
ATOMIC_SPECIES
Ir 192.22 Ir.upf
Rb 85.47 Rb.upf
N 14.01 N.upf
ATOMIC_POSITIONS crystal
Ir 0.0000 0.5000 0.0000
Ir 0.0000 0.0000 0.5000
Ir 0.5000 0.0000 0.0000
Rb 0.5000 0.5000 0.5000
N 0.0000 0.0000 0.0000
CELL_PARAMETERS angstrom
-3.0802 0.6706 2.9222
2.2457 -2.2596 2.8857
1.9863 3.5946 1.2688
! ΔE to the lowest computed polymorph in eV/atom: 0.0000
! Space-group type: Pm-3m
! Volume in Å³/cell: 79.4
! Crystal system: cubic
! E in eV/atom: -5.91

---

! Ba2LiB (PBE, relaxed); values from VASP
&SYSTEM
  ibrav = 0, nat = 8, ntyp = 3
/
ATOMIC_SPECIES
B 10.81 B.upf
Ba 137.33 Ba.upf
Li 6.94 Li.upf
ATOMIC_POSITIONS crystal
B 0.0000 0.0000 0.0000
B 0.7500 0.2500 0.5000
Ba 0.8168 0.1250 0.2500
Ba 0.9332 0.6250 0.2500
Ba 0.3750 0.1832 0.7500
Ba 0.8750 0.0668 0.7500
Li 0.5000 0.5000 0.0000
Li 0.2500 0.7500 0.5000
CELL_PARAMETERS angstrom
-7.0255 8.2561 3.5860
1.5645 -3.3597 10.8002
-0.9457 3.8852 7.3815
! Space-group type: I-42d
! ΔH_f (0 K) in eV/f.u.: 1.77
! Volume in Å³/cell: 299.8
! Crystal system: tetragonal
! E in eV/atom: -2.67

---

! CeZnGa2Ir2 (PBE, relaxed); values from VASP
&SYSTEM
  ibrav = 0, nat = 6, ntyp = 4
/
ATOMIC_SPECIES
Ce 140.12 Ce.upf
Zn 65.41 Zn.upf
Ga 69.72 Ga.upf
Ir 192.22 Ir.upf
ATOMIC_POSITIONS crystal
Ce 0.0000 0.0000 0.5000
Zn 0.0000 0.0000 0.0000
Ga 0.5000 0.0000 0.0000
Ga 0.0000 0.5000 0.0000
Ir 0.5000 0.5000 0.7306
Ir 0.5000 0.5000 0.2694
CELL_PARAMETERS angstrom
-1.9383 3.7657 1.5579
-3.6418 -2.3747 1.2092
2.2598 -0.9118 5.0156
! Space-group type: P4/mmm
! ΔH_f (0 K) in eV/f.u.: 0.27
! Volume in Å³/cell: 113.6
! Crystal system: tetragonal
! E in eV/atom: -5.12

---

! ZnNCl3 (PBE, relaxed); values from VASP
&SYSTEM
  ibrav = 0, nat = 10, ntyp = 3
/
ATOMIC_SPECIES
Zn 65.41 Zn.upf
N 14.01 N.upf
Cl 35.45 Cl.upf
ATOMIC_POSITIONS crystal
Zn 0.9330 0.4016 0.5270
Zn 0.4358 0.8990 0.5270
N 0.4778 0.4419 0.8926
N 0.8883 0.8564 0.1667
Cl 0.2531 0.2176 0.3078
Cl 0.1156 0.0829 0.7460
Cl 0.4093 0.3744 0.7317
Cl 0.6170 0.5898 0.3168
Cl 0.9590 0.9248 0.3197
Cl 0.7518 0.7107 0.7372
CELL_PARAMETERS angstrom
9.6469 2.4420 0.3216
6.3856 7.7107 0.3458
0.0904 0.0761 5.4747
! ΔE to the lowest computed polymorph in eV/atom: 0.0000
! Space-group type: P1
! Volume in Å³/cell: 321.6
! Crystal system: triclinic
! E in eV/atom: -3.10

---

! CeMgCoOs (PBE, relaxed); values from VASP
&SYSTEM
  ibrav = 0, nat = 4, ntyp = 4
/
ATOMIC_SPECIES
Co 58.93 Co.upf
Mg 24.30 Mg.upf
Os 190.23 Os.upf
Ce 140.12 Ce.upf
ATOMIC_POSITIONS crystal
Co 0.2500 0.2500 0.2500
Mg 0.0000 0.0000 0.0000
Os 0.7500 0.7500 0.7500
Ce 0.5000 0.5000 0.5000
CELL_PARAMETERS angstrom
4.6067 0.0000 0.0000
2.3034 3.9895 0.0000
2.3034 1.3298 3.7614
! Space-group type: F-43m
! ΔH_f (0 K) in eV/f.u.: 0.13
! Volume in Å³/cell: 69.1
! Crystal system: cubic
! E in eV/atom: -6.43

---

! EuTmBi2 (PBE, relaxed); values from VASP
&SYSTEM
  ibrav = 0, nat = 4, ntyp = 3
/
ATOMIC_SPECIES
Eu 151.96 Eu.upf
Tm 168.93 Tm.upf
Bi 208.98 Bi.upf
ATOMIC_POSITIONS crystal
Eu 0.5000 0.5000 0.5000
Tm 0.0000 0.0000 0.0000
Bi 0.2558 0.2558 0.2327
Bi 0.7442 0.7442 0.7673
CELL_PARAMETERS angstrom
4.5198 0.0000 0.0000
2.2599 3.9143 0.0000
2.2599 1.3048 7.5860
! ΔE to the lowest computed polymorph in eV/atom: 0.0000
! Space-group type: R-3m
! ΔH_f (0 K) in eV/f.u.: -3.04
! Volume in Å³/cell: 134.2
! Crystal system: trigonal
! E in eV/atom: -6.39

---

! La8GeIr3Br4 (PBE, relaxed); values from VASP
&SYSTEM
  ibrav = 0, nat = 16, ntyp = 4
/
ATOMIC_SPECIES
La 138.91 La.upf
Ge 72.64 Ge.upf
Ir 192.22 Ir.upf
Br 79.90 Br.upf
ATOMIC_POSITIONS crystal
La 0.2394 0.6976 0.9583
La 0.2393 0.6976 0.4787
La 0.2665 0.2997 0.5330
La 0.7189 0.6976 0.9583
La 0.2811 0.3024 0.0417
La 0.7335 0.7003 0.4670
La 0.7607 0.3024 0.5213
La 0.7606 0.3024 0.0417
Ge 0.0000 0.5000 0.0000
Ir 0.5000 0.5000 0.0000
Ir 0.5000 0.5000 0.5000
Ir 0.0000 0.5000 0.5000
Br 0.5000 0.0000 0.0000
Br 0.5000 0.0000 0.5000
Br 0.0000 0.0000 0.0000
Br 0.0000 0.0000 0.5000
CELL_PARAMETERS angstrom
8.5773 0.0000 0.0000
0.0000 9.2288 0.4589
-4.2887 -4.2877 6.0657
! Space-group type: R-3m
! Volume in Å³/cell: 497.0
! Crystal system: trigonal
! E in eV/atom: -6.02

---

! TaBe3Al (PBE, relaxed); values from VASP
&SYSTEM
  ibrav = 0, nat = 5, ntyp = 3
/
ATOMIC_SPECIES
Be 9.01 Be.upf
Al 26.98 Al.upf
Ta 180.95 Ta.upf
ATOMIC_POSITIONS crystal
Be 0.0000 0.5000 0.0000
Be 0.0000 0.0000 0.5000
Be 0.5000 0.0000 0.0000
Al 0.0000 0.0000 0.0000
Ta 0.5000 0.5000 0.5000
CELL_PARAMETERS angstrom
4.0630 0.0000 0.0000
0.0000 4.0630 0.0000
0.0000 0.0000 4.0630
! ΔE to the lowest computed polymorph in eV/atom: 0.0000
! Space-group type: Pm-3m
! ΔH_f (0 K) in eV/f.u.: 5.54
! Volume in Å³/cell: 67.1
! Crystal system: cubic
! E in eV/atom: -4.25

---

! KCaTe2 (PBE, relaxed); values from VASP
&SYSTEM
  ibrav = 0, nat = 8, ntyp = 3
/
ATOMIC_SPECIES
Ca 40.08 Ca.upf
Te 127.60 Te.upf
K 39.10 K.upf
ATOMIC_POSITIONS crystal
Ca 0.0000 0.0000 0.0000
Ca 0.7500 0.2500 0.5000
Te 0.7065 0.1250 0.2500
Te 0.0435 0.6250 0.2500
Te 0.3750 0.2935 0.7500
Te 0.8750 0.9565 0.7500
K 0.5000 0.5000 0.0000
K 0.2500 0.7500 0.5000
CELL_PARAMETERS angstrom
-0.2060 6.2689 2.6449
0.7427 -2.6096 6.2430
9.0661 2.4507 3.6570
! Space-group type: I-42d
! Volume in Å³/cell: 410.3
! Crystal system: tetragonal
! E in eV/atom: -3.21

---

! Tb3Nd2Dy6Tl (PBE, relaxed); values from VASP
&SYSTEM
  ibrav = 0, nat = 12, ntyp = 4
/
ATOMIC_SPECIES
Tb 158.93 Tb.upf
Nd 144.24 Nd.upf
Dy 162.50 Dy.upf
Tl 204.38 Tl.upf
ATOMIC_POSITIONS crystal
Tb 0.1669 0.8331 0.5000
Tb 0.8331 0.1669 0.5000
Tb 0.5000 0.5000 0.5000
Nd 0.3338 0.6662 0.0000
Nd 0.6662 0.3338 0.0000
Dy 0.9173 0.5895 0.7500
Dy 0.7552 0.7552 0.2512
Dy 0.0827 0.4105 0.2500
Dy 0.5895 0.9173 0.7500
Dy 0.2448 0.2448 0.7488
Dy 0.4105 0.0827 0.2500
Tl 0.0000 0.0000 0.0000
CELL_PARAMETERS angstrom
-0.4470 4.5047 -4.1140
-4.1707 -0.5121 4.4453
7.9554 5.5043 6.6871
! Space-group type: C2/m
! ΔH_f (0 K) in eV/f.u.: -0.36
! Volume in Å³/cell: 375.1
! Crystal system: monoclinic
! E in eV/atom: -4.48

---

Please write out number 12 again, unchanged.
! Tb3Nd2Dy6Tl (PBE, relaxed); values from VASP
&SYSTEM
  ibrav = 0, nat = 12, ntyp = 4
/
ATOMIC_SPECIES
Tb 158.93 Tb.upf
Nd 144.24 Nd.upf
Dy 162.50 Dy.upf
Tl 204.38 Tl.upf
ATOMIC_POSITIONS crystal
Tb 0.1669 0.8331 0.5000
Tb 0.8331 0.1669 0.5000
Tb 0.5000 0.5000 0.5000
Nd 0.3338 0.6662 0.0000
Nd 0.6662 0.3338 0.0000
Dy 0.9173 0.5895 0.7500
Dy 0.7552 0.7552 0.2512
Dy 0.0827 0.4105 0.2500
Dy 0.5895 0.9173 0.7500
Dy 0.2448 0.2448 0.7488
Dy 0.4105 0.0827 0.2500
Tl 0.0000 0.0000 0.0000
CELL_PARAMETERS angstrom
-0.4470 4.5047 -4.1140
-4.1707 -0.5121 4.4453
7.9554 5.5043 6.6871
! Space-group type: C2/m
! ΔH_f (0 K) in eV/f.u.: -0.36
! Volume in Å³/cell: 375.1
! Crystal system: monoclinic
! E in eV/atom: -4.48